Entry from Alexandria via LeMat-Bulk: a geometry-optimized Sc6Hg5Pt structure (GGA-PBE).

Properties
The total energy comes out at -4.353 eV/atom. The value obtained for the total magnetic moment is 0.0 μB per cell. As for the volume: 253.63 Å³ per cell. The value obtained for the formation enthalpy at 0 K is -0.558 eV per atom.

a b c (Å): 4.9177 6.9956 7.7716
angles (deg): 90.00 71.56 90.00
Element x y z (fractional)
Sc  0.8411  0.7571  0.3178
Sc  0.8411  0.2429  0.3178
Sc  0.5000  0.2337  0.0000
Sc  0.5000  0.7663  0.0000
Sc  0.1589  0.7571  0.6822
Sc  0.1589  0.2429  0.6822
Hg  0.6698  0.5000  0.6604
Hg  0.3263  0.0000  0.3475
Hg  0.0000  0.5000  0.0000
Hg  0.6737  0.0000  0.6525
Hg  0.3302  0.5000  0.3396
Pt  0.0000  0.0000  0.0000